# Na3SeS

Na3SeS after structural relaxation (GGA-PBEsol, Alexandria).

Results
Crystal system: cubic
Formation energy from raw total energies in meV/atom: -504
Total magnetization in μB/f.u.: 1.0

Unit cell a=5.3361 b=5.3361 c=5.3361 alpha=90.00 beta=90.00 gamma=90.00
Closest atoms and distances in Å follow each position.
Positions (direct):
Na1 0.0000 0.0000 0.5000  2 Se 2.67
Na2 0.0000 0.5000 0.0000  2 Se 2.67
Na3 0.5000 0.0000 0.0000  2 Se 2.67
Se1 0.0000 0.0000 0.0000  6 Na 2.67
S1 0.5000 0.5000 0.5000  12 Na 3.77

---

# LaMgIn2

LaMgIn2 after structural relaxation (GGA-PBEsol, Alexandria).

Results
Crystal system: trigonal
Energy of formation in kJ per mole of atoms: -37
Total magnetization in μB/f.u.: 0.0

Unit cell a=6.0903 b=6.0903 c=6.0903 alpha=46.34 beta=46.34 gamma=46.34
Closest atoms and distances in Å follow each position.
Positions (direct):
La1 0.0000 0.0000 0.0000  8 In 3.29-3.64
Mg1 0.5000 0.5000 0.5000  6 In 2.92
In1 0.2236 0.2236 0.2236  3 Mg 2.92
In2 0.7764 0.7764 0.7764  3 Mg 2.92

---

# Y3MgTl

Y3MgTl after structural relaxation (GGA-PBEsol, Alexandria).

Results
Crystal system: cubic
Energy of formation in kJ per mole of atoms: 53
Total magnetization in μB/f.u.: 0.0

Unit cell a=5.4603 b=5.4603 c=5.4603 alpha=90.00 beta=90.00 gamma=90.00
Closest atoms and distances in Å follow each position.
Positions (direct):
Y1 0.0000 0.0000 0.5000  2 Mg 2.73
Y2 0.0000 0.5000 0.0000  2 Mg 2.73
Y3 0.5000 0.0000 0.0000  2 Mg 2.73
Mg1 0.0000 0.0000 0.0000  6 Y 2.73
Tl1 0.5000 0.5000 0.5000  12 Y 3.86

---

# Sr2NiSe

Sr2NiSe after structural relaxation (GGA-PBEsol, Alexandria).

Results
Crystal system: orthorhombic
Formation energy from raw total energies in meV/atom: -667
Total magnetization in μB/f.u.: 0.0

Unit cell a=7.8522 b=7.8522 c=7.8522 alpha=150.04 beta=149.69 gamma=43.13
Closest atoms and distances in Å follow each position.
Positions (direct):
Sr1 0.0000 0.0000 0.0000  2 Ni 3.03, 4 Se 3.12
Sr2 0.7437 0.2437 0.5000  2 Se 3.12, 4 Ni 3.17
Ni1 0.1536 0.6536 0.5000  2 Se 2.31
Se1 0.5817 0.5817 0.0000  2 Ni 2.31

---

# Cr3MoN

Cr3MoN after structural relaxation (GGA-PBEsol, Alexandria).

Results
Crystal system: cubic
Formation energy from raw total energies in meV/atom: 2584
Total magnetization in μB/f.u.: 8.4

Unit cell a=4.5732 b=4.5732 c=4.5732 alpha=90.00 beta=90.00 gamma=90.00
Closest atoms and distances in Å follow each position.
Positions (direct):
Cr1 0.0000 0.0000 0.5000  2 Mo 2.29
Cr2 0.0000 0.5000 0.0000  2 Mo 2.29
Cr3 0.5000 0.0000 0.0000  2 Mo 2.29
Mo1 0.0000 0.0000 0.0000  6 Cr 2.29
N1 0.5000 0.5000 0.5000  12 Cr 3.23

---

# BaCuP

BaCuP after structural relaxation (GGA-PBEsol, Alexandria).

Results
Crystal system: hexagonal
Energy of formation in kJ per mole of atoms: -71
Total magnetization in μB/f.u.: 0.0

Unit cell a=4.1270 b=4.1270 c=9.1995 alpha=90.00 beta=90.00 gamma=120.00
Closest atoms and distances in Å follow each position.
Positions (direct):
Ba1 0.0000 0.0000 0.0000  6 Cu 3.31, 6 P 3.31
Ba2 0.0000 0.0000 0.5000  6 Cu 3.31, 6 P 3.31
Cu1 0.3333 0.6667 0.2500  3 P 2.38
Cu2 0.6667 0.3333 0.7500  3 P 2.38
P1 0.3333 0.6667 0.7500  3 Cu 2.38
P2 0.6667 0.3333 0.2500  3 Cu 2.38